[1]
This record from Alexandria describes Tb14P24Ir33 after structural relaxation. The functional is GGA-PBEsol.

Crystal system = monoclinic
Total moment = 0.0 μB per formula unit
Formation energy from the elements = -23.60 kcal/mol of atoms
Theoretical density = 13.74 g/cm3
Energy = -8.53 eV per atom
Space-group type = No. 8

Unit cell a=11.9072 b=11.9072 c=26.5194 alpha=111.61 beta=111.61 gamma=18.82
Fractional coordinates of all 71 atoms:
Tb1 0.0000 0.0000 0.0000
Tb2 0.0007 0.0007 0.5031
Tb3 0.0812 0.0812 0.8803
Tb4 0.0842 0.0842 0.3798
Tb5 0.1323 0.1323 0.2507
Tb6 0.1348 0.1348 0.7522
Tb7 0.2676 0.2676 0.4081
Tb8 0.2701 0.2701 0.9056
Tb9 0.7331 0.7331 0.0967
Tb10 0.7355 0.7355 0.5973
Tb11 0.8688 0.8688 0.2538
Tb12 0.8701 0.8701 0.7558
Tb13 0.9166 0.9166 0.1255
Tb14 0.9187 0.9187 0.6262
P1 0.1332 0.1332 0.0413
P2 0.1348 0.1348 0.5419
P3 0.2656 0.2656 0.1940
P4 0.2676 0.2676 0.6944
P5 0.3101 0.3101 0.0633
P6 0.3134 0.3134 0.5638
P7 0.3820 0.3820 0.8391
P8 0.3860 0.3860 0.3365
P9 0.4382 0.4382 0.2149
P10 0.4399 0.4399 0.7171
P11 0.4844 0.4844 0.0863
P12 0.4864 0.4864 0.5875
P13 0.5110 0.5110 0.9154
P14 0.5167 0.5167 0.4186
P15 0.5628 0.5628 0.2895
P16 0.5651 0.5651 0.7916
P17 0.6150 0.6150 0.1676
P18 0.6164 0.6164 0.6689
P19 0.6881 0.6881 0.9417
P20 0.6897 0.6897 0.4418
P21 0.7349 0.7349 0.3108
P22 0.7400 0.7400 0.8102
P23 0.8669 0.8669 0.9638
P24 0.8675 0.8675 0.4632
Ir1 0.0009 0.0009 0.2524
Ir2 0.0034 0.0034 0.7549
Ir3 0.0402 0.0402 0.1206
Ir4 0.0429 0.0429 0.6235
Ir5 0.1640 0.1640 0.1394
Ir6 0.1661 0.1661 0.6386
Ir7 0.2043 0.2043 0.9955
Ir8 0.2061 0.2061 0.4955
Ir9 0.2800 0.2800 0.7894
Ir10 0.2810 0.2810 0.2890
Ir11 0.3378 0.3378 0.1563
Ir12 0.3403 0.3403 0.6570
Ir13 0.3865 0.3865 0.0253
Ir14 0.3892 0.3892 0.5242
Ir15 0.4059 0.4059 0.9312
Ir16 0.4107 0.4107 0.4282
Ir17 0.4740 0.4740 0.3148
Ir18 0.4752 0.4752 0.8169
Ir19 0.5273 0.5273 0.1897
Ir20 0.5285 0.5285 0.6916
Ir21 0.5901 0.5901 0.0755
Ir22 0.5906 0.5906 0.5770
Ir23 0.6103 0.6103 0.9785
Ir24 0.6141 0.6141 0.4820
Ir25 0.6628 0.6628 0.3487
Ir26 0.6670 0.6670 0.8494
Ir27 0.7198 0.7198 0.2158
Ir28 0.7215 0.7215 0.7146
Ir29 0.7951 0.7951 0.0086
Ir30 0.7967 0.7967 0.5097
Ir31 0.8362 0.8362 0.3655
Ir32 0.9481 0.9481 0.8787
Ir33 0.9602 0.9602 0.3832

***

[2]
This record from Alexandria describes TcP4Ir after structural relaxation. The functional is GGA-PBEsol.

Crystal system = cubic
Total moment = 0.0 μB per formula unit
Formation energy from the elements = 17.24 kcal/mol of atoms
Theoretical density = 8.63 g/cm3
Energy = -6.63 eV per atom
Space-group type = No. 216

Unit cell a=4.8293 b=4.8293 c=4.8293 alpha=60.00 beta=60.00 gamma=60.00
Fractional coordinates of all 6 atoms:
Tc1 0.0000 0.0000 0.0000
P1 0.3750 0.3750 0.3750
P2 0.3750 0.3750 0.8751
P3 0.3750 0.8751 0.3750
P4 0.8751 0.3750 0.3750
Ir1 0.7500 0.7500 0.7500

***

[3]
This record from Alexandria describes TcPIr2 after structural relaxation. The functional is GGA-PBEsol.

Crystal system = monoclinic
Total moment = 0.0 μB per formula unit
Formation energy from the elements = -2.10 kcal/mol of atoms
Theoretical density = 15.37 g/cm3
Energy = -9.27 eV per atom
Space-group type = No. 12

Unit cell a=4.8231 b=4.8231 c=4.3404 alpha=90.04 beta=90.04 gamma=33.33
Fractional coordinates of all 4 atoms:
Tc1 0.0000 0.0000 0.0000
P1 0.5000 0.5000 0.5000
Ir1 0.2762 0.2762 0.2454
Ir2 0.7238 0.7238 0.7546

***

[4]
This record from Alexandria describes TcP2Ir after structural relaxation. The functional is GGA-PBEsol.

Crystal system = monoclinic
Total moment = 0.0 μB per formula unit
Offset from the most stable computed form = 0.000 eV/atom
Formation energy from the elements = -9.28 kcal/mol of atoms
Theoretical density = 10.43 g/cm3
Energy = -8.57 eV per atom
Space-group type = No. 8

Unit cell a=4.2295 b=4.2295 c=4.6886 alpha=102.79 beta=102.79 gamma=43.52
Fractional coordinates of all 4 atoms:
Tc1 0.0000 0.0000 0.0000
P1 0.4803 0.4803 0.3896
P2 0.7096 0.7096 0.9648
Ir1 0.2177 0.2177 0.5824

***

[5]
This record from Alexandria describes TcP2Ir after structural relaxation. The functional is GGA-PBEsol.

Crystal system = orthorhombic
Total moment = 0.0 μB per formula unit
Offset from the most stable computed form = 0.593 eV/atom
Formation energy from the elements = 4.40 kcal/mol of atoms
Theoretical density = 10.54 g/cm3
Energy = -7.98 eV per atom
Space-group type = No. 65

Unit cell a=2.9063 b=2.9063 c=7.6272 alpha=90.00 beta=90.00 gamma=120.56
Fractional coordinates of all 4 atoms:
Tc1 0.0000 0.0000 0.0000
P1 0.5000 0.5000 0.2454
P2 0.5000 0.5000 0.7546
Ir1 0.0000 0.0000 0.5000

***

[6]
This record from Alexandria describes TcP2Ir after structural relaxation. The functional is GGA-PBEsol.

Crystal system = tetragonal
Total moment = 0.0 μB per formula unit
Offset from the most stable computed form = 0.220 eV/atom
Formation energy from the elements = -4.20 kcal/mol of atoms
Theoretical density = 8.28 g/cm3
Energy = -8.35 eV per atom
Space-group type = No. 122

Unit cell a=6.3406 b=6.3406 c=6.3406 alpha=131.20 beta=131.20 gamma=71.50
Fractional coordinates of all 8 atoms:
Tc1 0.0000 0.0000 0.0000
Tc2 0.7500 0.2500 0.5000
P1 0.1262 0.6250 0.0012
P2 0.3750 0.3762 0.5012
P3 0.6238 0.1250 0.9988
P4 0.8750 0.8738 0.4988
Ir1 0.2500 0.7500 0.5000
Ir2 0.5000 0.5000 0.0000

***

[7]
This record from Alexandria describes Tc2PIr after structural relaxation. The functional is GGA-PBEsol.

Crystal system = triclinic
Total moment = 0.0 μB per formula unit
Formation energy from the elements = -0.86 kcal/mol of atoms
Theoretical density = 12.55 g/cm3
Energy = -9.57 eV per atom
Space-group type = No. 2

Unit cell a=2.8207 b=4.2983 c=4.7678 alpha=88.70 beta=73.77 gamma=89.84
Fractional coordinates of all 4 atoms:
Tc1 0.2079 0.2434 0.0548
Tc2 0.7921 0.7566 0.9452
P1 0.0000 0.5000 0.5000
Ir1 0.5000 0.0000 0.5000

***

[8]
This record from Alexandria describes Tc2PIr after structural relaxation. The functional is GGA-PBEsol.

Crystal system = monoclinic
Total moment = 0.0 μB per formula unit
Formation energy from the elements = -6.55 kcal/mol of atoms
Theoretical density = 12.89 g/cm3
Energy = -9.82 eV per atom
Space-group type = No. 8

Unit cell a=5.2231 b=5.2231 c=3.8647 alpha=92.47 beta=92.47 gamma=30.85
Fractional coordinates of all 4 atoms:
Tc1 0.0000 0.0000 0.0000
Tc2 0.6296 0.6296 0.5188
P1 0.4013 0.4013 0.5296
Ir1 0.2640 0.2640 0.0292

***

[9]
This record from Alexandria describes TcP2Ir after structural relaxation. The functional is GGA-PBEsol.

Crystal system = monoclinic
Total moment = 0.0 μB per formula unit
Offset from the most stable computed form = 0.547 eV/atom
Formation energy from the elements = 3.33 kcal/mol of atoms
Theoretical density = 10.60 g/cm3
Energy = -8.02 eV per atom
Space-group type = No. 12

Unit cell a=4.7958 b=4.7958 c=2.8817 alpha=106.54 beta=106.54 gamma=107.91
Fractional coordinates of all 4 atoms:
Tc1 0.0000 0.0000 0.0000
P1 0.0000 0.5000 0.0000
P2 0.5000 0.0000 0.0000
Ir1 0.5000 0.5000 0.0000

***

[10]
This record from Alexandria describes TcP2Ir after structural relaxation. The functional is GGA-PBEsol.

Crystal system = trigonal
Total moment = 0.0 μB per formula unit
Offset from the most stable computed form = 0.137 eV/atom
Formation energy from the elements = -6.12 kcal/mol of atoms
Theoretical density = 11.11 g/cm3
Energy = -8.43 eV per atom
Space-group type = No. 166

Unit cell a=7.5083 b=7.5083 c=7.5083 alpha=22.12 beta=22.12 gamma=22.12
Fractional coordinates of all 4 atoms:
Tc1 0.0000 0.0000 0.0000
P1 0.2525 0.2525 0.2525
P2 0.7475 0.7475 0.7475
Ir1 0.5000 0.5000 0.5000

***

[11]
This record from Alexandria describes TcPIr2 after structural relaxation. The functional is GGA-PBEsol.

Crystal system = monoclinic
Total moment = 0.9 μB per formula unit
Formation energy from the elements = 6.43 kcal/mol of atoms
Theoretical density = 15.22 g/cm3
Energy = -8.90 eV per atom
Space-group type = No. 12

Unit cell a=5.2831 b=5.2831 c=2.7319 alpha=104.65 beta=104.65 gamma=121.06
Fractional coordinates of all 4 atoms:
Tc1 0.0000 0.0000 0.0000
P1 0.5000 0.5000 0.0000
Ir1 0.0000 0.5000 0.5000
Ir2 0.5000 0.0000 0.5000

***

[12]
This record from Alexandria describes Tc2PIr after structural relaxation. The functional is GGA-PBEsol.

Crystal system = tetragonal
Total moment = 0.0 μB per formula unit
Formation energy from the elements = 0.41 kcal/mol of atoms
Theoretical density = 13.04 g/cm3
Energy = -9.52 eV per atom
Space-group type = No. 119

Unit cell a=4.6216 b=4.6216 c=4.6216 alpha=132.02 beta=132.02 gamma=70.19
Fractional coordinates of all 4 atoms:
Tc1 0.0000 0.0000 0.0000
Tc2 0.7500 0.2500 0.5000
P1 0.2500 0.7500 0.5000
Ir1 0.5000 0.5000 0.0000

***

Copy entry 6 word for word.
This record from Alexandria describes TcP2Ir after structural relaxation. The functional is GGA-PBEsol.

Crystal system = tetragonal
Total moment = 0.0 μB per formula unit
Offset from the most stable computed form = 0.220 eV/atom
Formation energy from the elements = -4.20 kcal/mol of atoms
Theoretical density = 8.28 g/cm3
Energy = -8.35 eV per atom
Space-group type = No. 122

Unit cell a=6.3406 b=6.3406 c=6.3406 alpha=131.20 beta=131.20 gamma=71.50
Fractional coordinates of all 8 atoms:
Tc1 0.0000 0.0000 0.0000
Tc2 0.7500 0.2500 0.5000
P1 0.1262 0.6250 0.0012
P2 0.3750 0.3762 0.5012
P3 0.6238 0.1250 0.9988
P4 0.8750 0.8738 0.4988
Ir1 0.2500 0.7500 0.5000
Ir2 0.5000 0.5000 0.0000